A plane-wave DFT calculation with PBE with a Hubbard U was carried out for a relaxed AcCoNO crystal.

Unit cell a=6.2120 b=7.2481 c=5.3483 alpha=90.00 beta=90.00 gamma=90.00
Last column: nearest neighbours and their distance in Å.
Sites, in units of the cell vectors:
Ac (0.0509, 0.2044, 0.0000)  4 O 2.52-2.82, 2 N 2.70-2.78
Ac (0.4491, 0.2044, 0.5000)  4 O 2.52-2.82, 2 N 2.70-2.78
Ac (0.5509, 0.7956, 0.0000)  4 O 2.52-2.82, 2 N 2.70-2.78
Ac (0.9491, 0.7956, 0.5000)  4 O 2.52-2.82, 2 N 2.70-2.78
Co (0.1076, 0.6036, 0.0027)  3 N 1.88-2.03
Co (0.3924, 0.6036, 0.5027)  3 N 1.88-2.03
Co (0.6076, 0.3964, 0.0027)  3 N 1.88-2.03
Co (0.8924, 0.3964, 0.5027)  3 N 1.88-2.03
N (0.1530, 0.4965, 0.6861)  3 Co 1.88-2.03
N (0.3470, 0.4965, 0.1861)  3 Co 1.88-2.03
N (0.6530, 0.5035, 0.6861)  3 Co 1.88-2.03
N (0.8470, 0.5035, 0.1861)  3 Co 1.88-2.03
O (0.0519, 0.1313, 0.4829)  1 Co 2.16
O (0.4481, 0.1313, 0.9829)  1 Co 2.16
O (0.5519, 0.8687, 0.4829)  1 Co 2.16
O (0.9481, 0.8687, 0.9829)  1 Co 2.16

Results
The calculation puts the calculated total energy at -6.781 eV per atom. Its crystal system is orthorhombic.